# 1
Crystalline Pm3ErSc6 at its relaxed geometry, computed with PBE.

space group	No. 36
Fermi-level density of states	1.45	states/eV per atom
E_form	0.18	eV/atom

Lattice parameters (Å, degrees): 6.1125 9.8513 9.8513 107.10 90.00 90.00
Last column: nearest neighbours and their distance in Å.
Atoms (fractional coordinates):
Pm: 0.4874 0.8834 0.7251  4 Sc 3.10-3.39
Pm: 0.9874 0.7251 0.8834  4 Sc 3.10-3.39
Pm: 0.0017 0.4123 0.5877  1 Er 3.34, 7 Sc 3.37-3.49, 2 Pm 3.56
Pm: 0.5017 0.5877 0.4123  1 Er 3.34, 7 Sc 3.37-3.49, 2 Pm 3.56
Pm: 0.9874 0.1166 0.2749  4 Sc 3.10-3.39
Pm: 0.4874 0.2749 0.1166  4 Sc 3.10-3.39
Er: 0.2036 0.2164 0.7836  2 Sc 2.84-3.17
Er: 0.7036 0.7836 0.2164  2 Sc 2.84-3.17
Sc: 0.0032 0.7406 0.5445  2 Sc 2.92-3.15
Sc: 0.5032 0.5445 0.7406  2 Sc 2.92-3.15
Sc: 0.3757 0.5423 0.0258  4 Sc 2.84-3.17, 1 Pm 3.10
Sc: 0.8757 0.0258 0.5423  4 Sc 2.84-3.17, 1 Pm 3.10
Sc: 0.3844 0.9409 0.0591  1 Er 3.17, 4 Pm 3.23-3.35, 1 Sc 3.24
Sc: 0.6630 0.2449 0.7551  4 Sc 2.84-3.15, 1 Er 2.84
Sc: 0.1630 0.7551 0.2449  4 Sc 2.84-3.15, 1 Er 2.84
Sc: 0.8844 0.0591 0.9409  1 Er 3.17, 4 Pm 3.23-3.35, 1 Sc 3.24
Sc: 0.3757 0.9742 0.4577  4 Sc 2.84-3.17, 1 Pm 3.10
Sc: 0.8757 0.4577 0.9742  4 Sc 2.84-3.17, 1 Pm 3.10
Sc: 0.0032 0.4555 0.2594  2 Sc 2.92-3.15
Sc: 0.5032 0.2594 0.4555  2 Sc 2.92-3.15

---

# 2
Crystalline Pm9ErSc2 at its relaxed geometry, computed with PBE.

space group	No. 123
Fermi-level density of states	1.47	states/eV per atom
E_form	0.03	eV/atom

Lattice parameters (Å, degrees): 5.0497 5.0497 15.1582 90.00 90.00 90.00
Last column: nearest neighbours and their distance in Å.
Atoms (fractional coordinates):
Pm: 0.5000 0.5000 0.0000  4 Er 3.57, 8 Pm 3.61
Pm: 0.5000 0.5000 0.3352  8 Pm 3.55, 4 Sc 3.57
Pm: 0.5000 0.5000 0.6648  8 Pm 3.55, 4 Sc 3.57
Pm: 0.5000 0.0000 0.1703  2 Sc 3.55, 8 Pm 3.55-3.61, 2 Er 3.61
Pm: 0.5000 0.0000 0.5000  8 Pm 3.55-3.57, 4 Sc 3.55
Pm: 0.5000 0.0000 0.8297  2 Sc 3.55, 8 Pm 3.55-3.61, 2 Er 3.61
Pm: 0.0000 0.5000 0.1703  2 Sc 3.55, 8 Pm 3.55-3.61, 2 Er 3.61
Pm: 0.0000 0.5000 0.5000  8 Pm 3.55-3.57, 4 Sc 3.55
Pm: 0.0000 0.5000 0.8297  2 Sc 3.55, 8 Pm 3.55-3.61, 2 Er 3.61
Er: 0.0000 0.0000 0.0000  12 Pm 3.57-3.61
Sc: 0.0000 0.0000 0.3349  12 Pm 3.55-3.57
Sc: 0.0000 0.0000 0.6651  12 Pm 3.55-3.57

---

# 3
Crystalline Pm7Er4Sc at its relaxed geometry, computed with PBE.

space group	No. 12
Fermi-level density of states	1.65	states/eV per atom
E_form	0.22	eV/atom

Lattice parameters (Å, degrees): 5.8690 8.6929 9.5993 61.03 72.20 70.27
Last column: nearest neighbours and their distance in Å.
Atoms (fractional coordinates):
Pm: 0.8297 0.9578 0.3828  5 Er 3.21-3.45, 1 Sc 3.37
Pm: 0.1703 0.0422 0.6172  5 Er 3.21-3.45, 1 Sc 3.37
Pm: 0.0727 0.5599 0.2947  1 Er 3.31, 4 Pm 3.45-3.67, 1 Sc 3.46
Pm: 0.9273 0.4401 0.7053  1 Er 3.31, 4 Pm 3.45-3.67, 1 Sc 3.46
Pm: 0.2835 0.5561 0.8769  4 Er 3.35-3.59, 5 Pm 3.57-3.66
Pm: 0.5000 0.0000 0.0000  2 Sc 2.93, 2 Er 3.11
Pm: 0.7165 0.4439 0.1231  4 Er 3.35-3.59, 5 Pm 3.57-3.66
Er: 0.5830 0.2784 0.5556  2 Er 3.32-3.49, 7 Pm 3.43-3.72
Er: 0.4170 0.7216 0.4444  2 Er 3.32-3.49, 7 Pm 3.43-3.72
Er: 0.7109 0.8093 0.7688  8 Pm 3.11-3.48, 1 Er 3.49
Er: 0.2891 0.1907 0.2312  8 Pm 3.11-3.48, 1 Er 3.49
Sc: 0.0000 0.0000 0.0000  2 Pm 2.93

---

# 4
Crystalline Pm2Er9Sc at its relaxed geometry, computed with PBE.

space group	No. 123
Fermi-level density of states	1.46	states/eV per atom
E_form	0.03	eV/atom

Lattice parameters (Å, degrees): 4.9710 4.9710 14.8793 89.99 90.00 90.00
Last column: nearest neighbours and their distance in Å.
Atoms (fractional coordinates):
Pm: 0.0000 0.9998 0.3316  12 Er 3.52-3.56
Pm: 0.0000 0.0002 0.6684  12 Er 3.52-3.56
Er: 0.5000 0.5000 0.0000  8 Er 3.45, 4 Sc 3.52
Er: 0.5000 0.4998 0.3300  4 Pm 3.52, 8 Er 3.54-3.55
Er: 0.5000 0.5002 0.6700  4 Pm 3.52, 8 Er 3.54-3.55
Er: 0.5000 0.9998 0.1606  8 Er 3.45-3.54, 2 Sc 3.45, 2 Pm 3.56
Er: 0.5000 0.0000 0.5000  8 Er 3.52-3.55, 4 Pm 3.53
Er: 0.5000 0.0002 0.8394  8 Er 3.45-3.54, 2 Sc 3.45, 2 Pm 3.56
Er: 0.0000 0.4998 0.1606  2 Sc 3.45, 8 Er 3.45-3.54, 2 Pm 3.56
Er: 0.0000 0.5000 0.5000  8 Er 3.52-3.55, 4 Pm 3.53
Er: 0.0000 0.5002 0.8394  2 Sc 3.45, 8 Er 3.45-3.54, 2 Pm 3.56
Sc: 0.0000 0.0000 0.0000  12 Er 3.45-3.52

---

# 5
Crystalline PmEr8Sc3 at its relaxed geometry, computed with PBE.

space group	No. 12
Fermi-level density of states	1.84	states/eV per atom
E_form	0.19	eV/atom

Lattice parameters (Å, degrees): 9.8432 9.8432 7.5195 82.67 138.05 121.96
Last column: nearest neighbours and their distance in Å.
Atoms (fractional coordinates):
Pm: 0.0000 0.0000 0.0000  8 Er 3.41-3.46, 2 Sc 3.48
Er: 0.4484 0.0645 0.1304  3 Sc 3.31-3.40, 7 Er 3.37-3.65, 1 Pm 3.41
Er: 0.5516 0.9355 0.8696  3 Sc 3.31-3.40, 7 Er 3.37-3.65, 1 Pm 3.41
Er: 0.0659 0.6820 0.1304  3 Sc 3.31-3.40, 7 Er 3.37-3.65, 1 Pm 3.41
Er: 0.9341 0.3180 0.8696  3 Sc 3.31-3.40, 7 Er 3.37-3.65, 1 Pm 3.41
Er: 0.4345 0.5593 0.6229  3 Sc 3.32-3.49, 7 Er 3.40-3.55, 1 Pm 3.46
Er: 0.0637 0.1885 0.6230  3 Sc 3.32-3.49, 7 Er 3.40-3.55, 1 Pm 3.46
Er: 0.5655 0.4407 0.3770  3 Sc 3.32-3.49, 7 Er 3.40-3.55, 1 Pm 3.46
Er: 0.9363 0.8115 0.3771  3 Sc 3.32-3.49, 7 Er 3.40-3.55, 1 Pm 3.46
Sc: 0.4871 0.7434 0.2304  1 Sc 3.30, 8 Er 3.31-3.49, 1 Pm 3.48
Sc: 0.5129 0.2566 0.7696  1 Sc 3.30, 8 Er 3.31-3.49, 1 Pm 3.48
Sc: 0.0000 0.5000 0.5000  2 Sc 3.30, 8 Er 3.33-3.40

---

# 6
Crystalline Pm3Er8Sc2 at its relaxed geometry, computed with PBE.

space group	No. 65
Fermi-level density of states	1.50	states/eV per atom
E_form	0.25	eV/atom

Lattice parameters (Å, degrees): 5.5481 7.6858 10.4455 111.59 90.01 90.00
Last column: nearest neighbours and their distance in Å.
Atoms (fractional coordinates):
Pm: 0.5000 0.0000 0.0000  4 Er 3.15
Pm: 0.0000 0.2930 0.0000  1 Pm 3.18, 6 Er 3.48-3.55
Pm: 0.0000 0.7070 0.0000  1 Pm 3.18, 6 Er 3.48-3.55
Er: 0.0004 0.6780 0.3560  2 Sc 3.19, 4 Er 3.44
Er: 0.9996 0.3220 0.6440  2 Sc 3.19, 4 Er 3.44
Er: 0.9999 0.1364 0.2727  2 Sc 3.43, 4 Pm 3.48-3.84, 5 Er 3.59-3.61
Er: 0.0001 0.8636 0.7273  2 Sc 3.43, 4 Pm 3.48-3.84, 5 Er 3.59-3.61
Er: 0.4998 0.5946 0.7719  1 Pm 3.15, 3 Er 3.21-3.44, 2 Sc 3.25-3.32
Er: 0.4998 0.1772 0.7719  1 Pm 3.15, 3 Er 3.21-3.44, 2 Sc 3.25-3.32
Er: 0.5002 0.8228 0.2281  1 Pm 3.15, 3 Er 3.21-3.44, 2 Sc 3.25-3.32
Er: 0.5002 0.4054 0.2281  1 Pm 3.15, 3 Er 3.21-3.44, 2 Sc 3.25-3.32
Sc: 0.4996 0.2405 0.4810  8 Er 3.19-3.43
Sc: 0.5004 0.7595 0.5190  8 Er 3.19-3.43

---

# 7
Crystalline Pm3ErSc6 at its relaxed geometry, computed with PBE.

space group	No. 146
Fermi-level density of states	2.04	states/eV per atom
E_form	0.41	eV/atom

Lattice parameters (Å, degrees): 9.3308 9.3308 6.5692 44.75 44.75 60.00
Last column: nearest neighbours and their distance in Å.
Atoms (fractional coordinates):
Pm: 0.3503 0.3503 0.9492  2 Pm 2.82
Pm: 0.6001 0.6001 0.1997  1 Pm 2.82, 1 Er 2.82, 3 Sc 3.06
Pm: 0.1004 0.1004 0.6989  1 Pm 2.82, 1 Er 2.82, 3 Sc 3.06
Er: 0.8503 0.8503 0.4492  2 Pm 2.82
Sc: 0.9262 0.6029 0.2008  2 Pm 3.06-3.30, 1 Er 3.25
Sc: 0.2701 0.9262 0.2008  2 Pm 3.06-3.30, 1 Er 3.25
Sc: 0.6029 0.2701 0.2008  2 Pm 3.06-3.30, 1 Er 3.25
Sc: 0.0966 0.4296 0.7002  2 Pm 3.06-3.29, 1 Er 3.25
Sc: 0.7735 0.0966 0.7002  2 Pm 3.06-3.29, 1 Er 3.25
Sc: 0.4296 0.7735 0.7002  2 Pm 3.06-3.29, 1 Er 3.25

---

# 8
Crystalline Pm15Er2Sc2 at its relaxed geometry, computed with PBE.

space group	No. 166
Fermi-level density of states	1.79	states/eV per atom
E_form	0.28	eV/atom

Lattice parameters (Å, degrees): 8.8005 8.8005 8.8005 78.31 78.31 78.31
Last column: nearest neighbours and their distance in Å.
Atoms (fractional coordinates):
Pm: 0.0000 0.0000 0.5000  8 Pm 3.40-3.44, 2 Sc 3.51
Pm: 0.5000 0.0000 0.0000  8 Pm 3.40-3.44, 2 Sc 3.51
Pm: 0.0000 0.5000 0.0000  8 Pm 3.40-3.44, 2 Sc 3.51
Pm: 0.2920 0.7080 0.0000  6 Pm 3.25-3.44, 2 Sc 3.62
Pm: 0.0000 0.2920 0.7080  6 Pm 3.25-3.44, 2 Sc 3.62
Pm: 0.7080 0.0000 0.2920  6 Pm 3.25-3.44, 2 Sc 3.62
Pm: 0.0000 0.7080 0.2920  6 Pm 3.25-3.44, 2 Sc 3.62
Pm: 0.2920 0.0000 0.7080  6 Pm 3.25-3.44, 2 Sc 3.62
Pm: 0.7080 0.2920 0.0000  6 Pm 3.25-3.44, 2 Sc 3.62
Pm: 0.6180 0.6180 0.1563  6 Pm 3.23-3.40
Pm: 0.1563 0.6180 0.6180  6 Pm 3.23-3.40
Pm: 0.6180 0.1563 0.6180  6 Pm 3.23-3.40
Pm: 0.3820 0.3820 0.8437  6 Pm 3.23-3.40
Pm: 0.8437 0.3820 0.3820  6 Pm 3.23-3.40
Pm: 0.3820 0.8437 0.3820  6 Pm 3.23-3.40
Er: 0.3084 0.3084 0.3084  15 Pm 3.95-4.10, 1 Sc 3.98
Er: 0.6916 0.6916 0.6916  15 Pm 3.95-4.10, 1 Sc 3.98
Sc: 0.0882 0.0882 0.0882  1 Sc 3.19, 3 Pm 3.51
Sc: 0.9118 0.9118 0.9118  1 Sc 3.19, 3 Pm 3.51

---

Repeat the second record exactly.
Crystalline Pm9ErSc2 at its relaxed geometry, computed with PBE.

space group	No. 123
Fermi-level density of states	1.47	states/eV per atom
E_form	0.03	eV/atom

Lattice parameters (Å, degrees): 5.0497 5.0497 15.1582 90.00 90.00 90.00
Last column: nearest neighbours and their distance in Å.
Atoms (fractional coordinates):
Pm: 0.5000 0.5000 0.0000  4 Er 3.57, 8 Pm 3.61
Pm: 0.5000 0.5000 0.3352  8 Pm 3.55, 4 Sc 3.57
Pm: 0.5000 0.5000 0.6648  8 Pm 3.55, 4 Sc 3.57
Pm: 0.5000 0.0000 0.1703  2 Sc 3.55, 8 Pm 3.55-3.61, 2 Er 3.61
Pm: 0.5000 0.0000 0.5000  8 Pm 3.55-3.57, 4 Sc 3.55
Pm: 0.5000 0.0000 0.8297  2 Sc 3.55, 8 Pm 3.55-3.61, 2 Er 3.61
Pm: 0.0000 0.5000 0.1703  2 Sc 3.55, 8 Pm 3.55-3.61, 2 Er 3.61
Pm: 0.0000 0.5000 0.5000  8 Pm 3.55-3.57, 4 Sc 3.55
Pm: 0.0000 0.5000 0.8297  2 Sc 3.55, 8 Pm 3.55-3.61, 2 Er 3.61
Er: 0.0000 0.0000 0.0000  12 Pm 3.57-3.61
Sc: 0.0000 0.0000 0.3349  12 Pm 3.55-3.57
Sc: 0.0000 0.0000 0.6651  12 Pm 3.55-3.57

---

- The highest Fermi-level density of states belongs to which entry?
  number 7

---

- What is the Fermi-level density of states in the second record?
  1.47 states/eV per atom